Entry i
Compound: Li3ZnPCO7
Source: Alexandria
Functional: PBE
Structure: optimized geometry

a b c (Å): 6.523 5.082 8.449
angles (deg): 88.27 90.00 90.00
Element x y z (fractional)
Li 0.475 0.049 0.997
Li 0.785 0.418 0.189
Li 0.605 0.444 0.530
Li 0.105 0.556 0.470
Li 0.285 0.582 0.811
Li 0.975 0.951 0.003
Zn 0.252 0.047 0.285
Zn 0.752 0.953 0.715
P 0.750 0.960 0.337
P 0.250 0.040 0.663
C 0.265 0.541 0.125
C 0.765 0.459 0.875
O 0.301 0.383 0.012
O 0.247 0.793 0.093
O 0.935 0.072 0.239
O 0.562 0.048 0.235
O 0.243 0.453 0.270
O 0.770 0.659 0.368
O 0.735 0.103 0.498
O 0.235 0.897 0.502
O 0.270 0.341 0.632
O 0.743 0.547 0.730
O 0.062 0.952 0.765
O 0.435 0.928 0.761
O 0.747 0.207 0.907
O 0.801 0.617 0.988

## Properties
Calculated density, g cm⁻³: 2.861
Magnetization, μB/f.u.: 0.0

---

Entry ii
Compound: Li3ZnPCO7
Source: Alexandria
Functional: PBE
Structure: optimized geometry

a b c (Å): 6.395 4.995 8.544
angles (deg): 84.80 90.00 90.00
Element x y z (fractional)
Li 0.250 0.212 0.892
Li 0.010 0.736 0.738
Li 0.490 0.736 0.738
Li 0.510 0.264 0.262
Li 0.990 0.264 0.262
Li 0.750 0.788 0.108
Zn 0.750 0.224 0.649
Zn 0.250 0.776 0.351
P 0.250 0.264 0.588
P 0.750 0.736 0.412
C 0.750 0.308 0.957
C 0.250 0.692 0.043
O 0.750 0.057 0.937
O 0.250 0.608 0.902
O 0.750 0.485 0.834
O 0.061 0.157 0.691
O 0.439 0.157 0.691
O 0.250 0.579 0.573
O 0.750 0.829 0.579
O 0.250 0.171 0.421
O 0.750 0.421 0.427
O 0.561 0.843 0.309
O 0.939 0.843 0.309
O 0.250 0.515 0.166
O 0.750 0.392 0.098
O 0.250 0.943 0.063

## Properties
Calculated density, g cm⁻³: 2.947
Magnetization, μB/f.u.: 0.0

---

Which one is most stable, and which one is least stable? entry i is the most stable of them, while entry ii is the least stable.